Entry 1:
{"formula": "InTcTe2", "functional": "PBE-GGA", "state": "optimized geometry", "lattice": [[-5.8159, -5.3531, 8.6062], [-5.1708, -7.9293, 6.8510], [-3.0354, -6.8628, 8.9574]], "species": ["Tc", "In", "Te", "Te"], "frac_coords": [[0.0000, 0.0000, 0.0000], [0.5000, 0.5000, 0.5000], [0.0749, 0.0749, 0.0749], [0.9251, 0.9251, 0.9251]], "e_form_raw_ev_per_atom": 0.59, "magmom_total_mub_per_atom": 0.144}

=====

Entry 2:
{"formula": "Dy2ErSc4", "functional": "PBE-GGA", "state": "optimized geometry", "lattice": [[-1.8705, -1.3578, 4.6841], [-3.0277, -1.1912, -1.5544], [5.7857, -8.8971, -0.2686]], "species": ["Sc", "Sc", "Sc", "Sc", "Er", "Dy", "Dy"], "frac_coords": [[0.0000, 0.1803, 0.3605], [0.5000, 0.3027, 0.6055], [0.0000, 0.8197, 0.6395], [0.5000, 0.6973, 0.3945], [0.0000, 0.5000, 0.0000], [0.5000, 0.9266, 0.8531], [0.5000, 0.0734, 0.1469]], "de_polymorph_ev_per_atom": 0.0000, "formation_energy_ev_per_atom": 0.173, "magmom_total_mub_per_atom": 0.001}

=====

Entry 3:
{"formula": "CdAg6F12", "functional": "PBE-GGA", "state": "optimized geometry", "lattice": [[6.6787, 0.2479, -1.1762], [-1.4424, 6.5258, -1.1762], [0.1916, 0.2479, 6.7788]], "species": ["Ag", "Ag", "Ag", "Ag", "Ag", "Ag", "F", "F", "F", "F", "F", "F", "F", "F", "F", "F", "F", "F", "Cd"], "frac_coords": [[0.3053, 0.6005, 0.1206], [0.3995, 0.8794, 0.6947], [0.1206, 0.3053, 0.6005], [0.6005, 0.1206, 0.3053], [0.6947, 0.3995, 0.8794], [0.8794, 0.6947, 0.3995], [0.3077, 0.9397, 0.1212], [0.1701, 0.5863, 0.3918], [0.6923, 0.0603, 0.8788], [0.3918, 0.1701, 0.5863], [0.1212, 0.3077, 0.9397], [0.4137, 0.6082, 0.8299], [0.5863, 0.3918, 0.1701], [0.6082, 0.8299, 0.4137], [0.0603, 0.8788, 0.6923], [0.8788, 0.6923, 0.0603], [0.9397, 0.1212, 0.3077], [0.8299, 0.4137, 0.6082], [0.0000, 0.0000, 0.0000]], "e_form_raw_ev_per_atom": -1.26, "magmom_total_mub_per_atom": 0.219}

=====

Entry 4:
{"formula": "BaMg6ZnO8", "functional": "PBE-GGA", "state": "optimized geometry", "lattice": [[-3.7827, -1.0961, 2.5746], [-1.8534, -2.2618, -3.6862], [3.8871, -7.3756, 2.5710]], "species": ["Mg", "Mg", "Mg", "Mg", "Mg", "Mg", "O", "O", "O", "O", "O", "O", "O", "O", "Ba", "Zn"], "frac_coords": [[0.5000, 0.5000, 0.0000], [0.5000, 0.5000, 0.5000], [0.5000, 0.0000, 0.7672], [0.0000, 0.5000, 0.2328], [0.5000, 0.0000, 0.2328], [0.0000, 0.5000, 0.7672], [0.0000, 0.0000, 0.2173], [0.5000, 0.0000, 0.5000], [0.5000, 0.5000, 0.7524], [0.0000, 0.5000, 0.5000], [0.0000, 0.5000, 0.0000], [0.5000, 0.5000, 0.2476], [0.5000, 0.0000, 0.0000], [0.0000, 0.0000, 0.7827], [0.0000, 0.0000, 0.5000], [0.0000, 0.0000, 0.0000]], "e_form_raw_ev_per_atom": -2.15, "magmom_total_mub_per_atom": 0.000}

=====

Entry 5:
{"formula": "YCoP2S", "functional": "PBE-GGA", "state": "optimized geometry", "lattice": [[-1.3188, -0.4420, -4.0239], [-2.8380, -2.9169, 1.2506], [-3.3838, 3.5983, 0.7137]], "species": ["Y", "Co", "P", "P", "S"], "frac_coords": [[0.5000, 0.5000, 0.5000], [0.0000, 0.0000, 0.0000], [0.0000, 0.5000, 0.0000], [0.5000, 0.0000, 0.0000], [0.0000, 0.0000, 0.5000]], "de_polymorph_ev_per_atom": 0.0000, "e_form_raw_ev_per_atom": -0.38, "magmom_total_mub_per_atom": 0.000}

=====

Entry 6:
{"formula": "KLiCdSn", "functional": "PBE-GGA", "state": "optimized geometry", "lattice": [[5.2471, 0.0000, 0.0000], [2.6235, 4.5441, 0.0000], [2.6235, 1.5147, 4.2842]], "species": ["Li", "Sn", "Cd", "K"], "frac_coords": [[0.2500, 0.2500, 0.2500], [0.0000, 0.0000, 0.0000], [0.7500, 0.7500, 0.7500], [0.5000, 0.5000, 0.5000]], "formation_energy_ev_per_atom": -0.145, "magmom_total_mub_per_atom": 0.000}

=====

Entry 7:
{"formula": "Ti2NbSe6", "functional": "PBE-GGA", "state": "optimized geometry", "lattice": [[-2.1297, -1.3027, 2.4780], [-3.7798, -4.3257, -5.5225], [7.6392, -3.4764, 2.2414]], "species": ["Se", "Se", "Se", "Se", "Se", "Se", "Ti", "Ti", "Nb"], "frac_coords": [[0.6651, 0.0964, 0.3302], [0.3293, 0.4298, 0.6587], [0.0042, 0.2461, 0.0085], [0.3349, 0.9036, 0.6698], [0.6707, 0.5702, 0.3413], [0.9958, 0.7539, 0.9915], [0.8326, 0.6665, 0.6652], [0.1674, 0.3335, 0.3348], [0.5000, 0.0000, 0.0000]], "e_form_raw_ev_per_atom": -1.02, "magmom_total_mub_per_atom": 0.000}

=====

Entry 8:
{"formula": "Ho4Tm3In", "functional": "PBE-GGA", "state": "optimized geometry", "lattice": [[-4.4019, -4.1560, 0.7526], [3.1215, -2.2591, 5.7820], [-5.8399, 7.2708, 5.9935]], "species": ["Ho", "Ho", "Ho", "Ho", "Ho", "Ho", "Ho", "Ho", "Tm", "Tm", "Tm", "Tm", "Tm", "Tm", "In", "In"], "frac_coords": [[0.1355, 0.8681, 0.5000], [0.4913, 0.8730, 0.7387], [0.6355, 0.1319, 0.0000], [0.9913, 0.1270, 0.2387], [0.4913, 0.8730, 0.2613], [0.1659, 0.8722, 0.0000], [0.9913, 0.1270, 0.7613], [0.6659, 0.1278, 0.5000], [0.6403, 0.6299, 0.0000], [0.4709, 0.3831, 0.7443], [0.4709, 0.3831, 0.2557], [0.1403, 0.3701, 0.5000], [0.9709, 0.6169, 0.2443], [0.9709, 0.6169, 0.7557], [0.6491, 0.6190, 0.5000], [0.1491, 0.3810, 0.0000]], "de_polymorph_ev_per_atom": 0.0117, "formation_energy_ev_per_atom": -0.105, "magmom_total_mub_per_atom": 0.000}

=====

Which formula does entry 6 have?
KLiCdSn

=====

Which formula does entry 3 have?
CdAg6F12